[1]
Rb2ReSiPb | Alexandria via LeMat-Bulk | GGA-PBE | relaxed; uncorrected formation energy = 1.633 eV/atom
1.0
7.088 0.000 0.000
0.000 7.088 0.000
0.000 0.000 5.209
Rb Re Si Pb
2 1 1 1
Direct
0.000 0.500 0.000
0.500 0.000 0.000
0.000 0.000 0.500
0.500 0.500 0.500
0.500 0.500 0.000

[2]
RbRhPb4 | Alexandria via LeMat-Bulk | GGA-PBE | relaxed; formation enthalpy at 0 K = -0.05 eV/atom
1.0
6.711 0.000 0.000
0.012 7.537 0.000
3.348 2.393 7.559
Rb Rh Pb
2 2 8
Direct
0.009 0.251 0.499
0.991 0.749 0.501
0.000 0.500 0.000
0.500 0.000 0.000
0.110 0.145 0.072
0.318 0.647 0.070
0.392 0.527 0.704
0.405 0.033 0.702
0.595 0.967 0.298
0.608 0.473 0.296
0.682 0.353 0.930
0.890 0.855 0.928

[3]
Rb2RhPb6 | Alexandria via LeMat-Bulk | GGA-PBE | relaxed; formation enthalpy at 0 K = -0.08 eV/atom
1.0
7.191 0.000 0.000
-3.596 6.228 0.000
0.000 0.000 6.509
Rb Rh Pb
2 1 6
Direct
0.333 0.667 0.172
0.667 0.333 0.828
0.000 0.000 0.000
0.162 0.324 0.696
0.162 0.838 0.696
0.324 0.162 0.304
0.676 0.838 0.696
0.838 0.162 0.304
0.838 0.676 0.304